An optimized crystal structure of NpAsPd3. Source: Alexandria via LeMat-Bulk, functional GGA-PBE.

Computed properties:
Its density of states at the Fermi level is 21.15 states/eV/cell. The formation energy comes out at -0.09 eV per atom. For the total DFT energy (no corrections), the calculation gives -67.2 eV per cell.

Cell: 8.969 8.969 8.969 Å, 146.24 146.24 48.49°
Element x y z (fractional)
Np 0.163 0.163 0.000
Np 0.837 0.837 0.000
As 0.250 0.750 0.500
As 0.500 0.500 0.000
Pd 0.376 0.130 0.754
Pd 0.376 0.622 0.246
Pd 0.378 0.624 0.754
Pd 0.560 0.060 0.500
Pd 0.870 0.624 0.246
Pd 0.940 0.440 0.500